The following is a PBE calculation of a relaxed LiCeCd crystal, from Alexandria via LeMat-Bulk.

Values from the calculation:
Space-group type   P3m1 (156)
Energy of formation   -0.10 eV per atom
Uncorrected energy   -3.0211 eV per atom
Density of states at the Fermi level   6.29 states/eV per cell

POSCAR file:
```
LiCeCd
1.0
3.087 0.000 0.000
0.000 5.132 0.000
0.000 -2.566 4.444
Li Ce Cd
1 1 1
Direct
0.168 0.667 0.333
0.666 0.333 0.667
0.166 0.000 0.000
```

The following is a PBE calculation of a relaxed HgIr2Au crystal, from Alexandria via LeMat-Bulk.

Values from the calculation:
Space-group type   R3m (160)
Energy of formation   0.32 eV per atom
Uncorrected energy   -5.0090 eV per atom
Density of states at the Fermi level   4.14 states/eV per cell

POSCAR file:
```
HgIr2Au
1.0
-3.162 9.143 -0.429
-3.866 8.578 2.292
-1.216 9.464 1.651
Au Ir Hg
1 2 1
Direct
0.505 0.505 0.505
0.255 0.255 0.255
0.993 0.993 0.993
0.747 0.747 0.747
```

The following is a PBE calculation of a relaxed Sr3LaPa2As6 crystal, from Alexandria via LeMat-Bulk.

Values from the calculation:
Space-group type   C2/m (12)
Energy of formation   -1.25 eV per atom
Uncorrected energy   -5.9838 eV per atom
Density of states at the Fermi level   7.03 states/eV per cell

POSCAR file:
```
Sr3LaPa2As6
1.0
-2.506 -1.208 6.937
6.915 -2.111 -1.894
1.022 7.480 0.326
Pa La As Sr
2 1 6 3
Direct
0.333 0.667 0.000
0.667 0.333 0.000
0.000 0.000 0.000
0.074 0.424 0.220
0.724 0.724 0.220
0.276 0.276 0.780
0.424 0.074 0.220
0.576 0.926 0.780
0.926 0.576 0.780
0.163 0.837 0.500
0.500 0.500 0.500
0.837 0.163 0.500
```

The following is a PBE calculation of a relaxed BaReRh crystal, from Alexandria via LeMat-Bulk.

Values from the calculation:
Space-group type   F-43m (216)
Energy of formation   1.35 eV per atom
Uncorrected energy   -5.8947 eV per atom
Density of states at the Fermi level   4.89 states/eV per cell

POSCAR file:
```
BaReRh
1.0
0.000 3.304 3.304
3.304 0.000 3.304
3.304 3.304 0.000
Rh Ba Re
1 1 1
Direct
0.250 0.250 0.250
0.750 0.750 0.750
0.000 0.000 0.000
```

The following is a PBE calculation of a relaxed InAg2Ir crystal, from Alexandria via LeMat-Bulk.

Values from the calculation:
Space-group type   P4/mmm (123)
Energy of formation   0.36 eV per atom
Uncorrected energy   -3.9663 eV per atom
Density of states at the Fermi level   2.84 states/eV per cell

POSCAR file:
```
InAg2Ir
1.0
-2.624 -0.516 -1.125
0.531 -2.851 0.069
-3.317 -0.427 7.935
Ir Ag In
1 2 1
Direct
0.500 0.500 0.750
0.000 0.000 0.518
0.000 0.000 0.982
0.500 0.500 0.250
```

The following is a PBE calculation of a relaxed MgMnBr2 crystal, from Alexandria via LeMat-Bulk.

Values from the calculation:
Space-group type   P4/mmm (123)
Formation energy without anion corrections   -0.15 eV/atom
Uncorrected energy   -3.6744 eV per atom
Density of states at the Fermi level   1.36 states/eV per cell

POSCAR file:
```
MgMnBr2
1.0
3.387 0.000 0.000
0.000 3.387 0.000
0.000 0.000 9.425
Br Mg Mn
2 1 1
Direct
0.000 0.000 0.925
0.000 0.000 0.575
0.500 0.500 0.250
0.500 0.500 0.750
```

The following is a PBE calculation of a relaxed Nd4Sm5Mg crystal, from Alexandria via LeMat-Bulk.

Values from the calculation:
Space-group type   P4/mmm (123)
Energy of formation   -0.01 eV per atom
Uncorrected energy   -4.4328 eV per atom
Density of states at the Fermi level   12.71 states/eV per cell

POSCAR file:
```
Nd4Sm5Mg
1.0
3.674 0.000 0.000
0.000 3.674 0.000
0.000 0.000 24.731
Sm Nd Mg
5 4 1
Direct
0.500 0.500 0.708
0.500 0.500 0.914
0.500 0.500 0.292
0.500 0.500 0.500
0.500 0.500 0.086
0.000 0.000 0.396
0.000 0.000 0.188
0.000 0.000 0.812
0.000 0.000 0.604
0.000 0.000 0.000
```

The following is a PBE calculation of a relaxed TiTe2HF crystal, from Alexandria via LeMat-Bulk.

Values from the calculation:
Space-group type   P4/mmm (123)
Uncorrected energy   -3.9919 eV per atom
Density of states at the Fermi level   3.10 states/eV per cell

POSCAR file:
```
TiTe2HF
1.0
-3.205 -2.479 2.362
2.769 -2.209 1.438
0.433 2.916 3.647
Ti F H Te
1 1 1 2
Direct
0.500 0.500 0.500
0.000 0.500 0.000
0.000 0.000 0.000
0.500 0.000 0.000
0.000 0.000 0.500
```